A plane-wave DFT calculation with GGA+U was carried out for a relaxed MnBF6 crystal.

Cell: 5.0656 5.0656 5.0656 Å, 60.00 60.00 60.00°
With the nearest neighbours (Å) after each atom.
Fractional coordinates of all 8 atoms:
1 Mn 0.5000 0.5000 0.5000  6 F 1.96
2 F 0.2266 0.7734 0.7734  1 B 1.62
3 F 0.7734 0.2266 0.2266  1 B 1.62
4 F 0.2266 0.2266 0.7734  1 B 1.62
5 F 0.7734 0.2266 0.7734  1 B 1.62
6 F 0.7734 0.7734 0.2266  1 B 1.62
7 F 0.2266 0.7734 0.2266  1 B 1.62
8 B 0.0000 0.0000 0.0000  6 F 1.62

Summary:
VASP energy   -5.312 eV/atom
SG   No. 225
M_tot   4.00 μB/cell
Density of states at the Fermi level   0.25 states/eV per atom